DFT (PBE) results for an optimized crystal structure of Mn2CdCo.

```
Mn2CdCo
1.0
3.7998 0.0000 0.0000
0.0000 2.6223 0.0024
0.0000 2.6192 5.3555
Cd Co Mn
1 1 2
direct
0.5000 0.2500 0.2500 Cd
0.5000 0.7500 0.7500 Co
0.0000 0.0656 0.9365 Mn
0.0000 0.4344 0.5635 Mn
```

Properties
M_tot ... 0.69 μB per cell
Space group ... No. 10
Calculated total energy ... -6.1531 eV per atom